Density functional theory data (PBE with a Hubbard U) for a relaxed structure of LiVF6.

Computed properties:
The total moment comes out at 0.00 μB per formula unit. As for the total energy: -5.228 eV per atom. The symmetry is Fm-3m.

Cell lengths 5.4605, 5.4605, 5.4605 Å; angles 60.00, 60.00, 60.00 degrees
Closest atoms and distances in Å follow each position.
Element x y z (fractional)
F: 0.7349 0.7349 0.2651  1 V 1.81
F: 0.2651 0.2651 0.7349  1 V 1.81
F: 0.7349 0.2651 0.2651  1 V 1.81
F: 0.7349 0.2651 0.7349  1 V 1.81
F: 0.2651 0.7349 0.2651  1 V 1.81
F: 0.2651 0.7349 0.7349  1 V 1.81
V: 0.5000 0.5000 0.5000  6 F 1.81
Li: 0.0000 0.0000 0.0000  6 F 2.05